Entry 1:
A relaxed structure of Sr2MgCoSi2, computed with GGA-PBE.

Cell and atoms, written as CIF:
```
data_Sr2MgCoSi2
_cell_length_a 4.374
_cell_length_b 4.374
_cell_length_c 7.166
_cell_angle_alpha 90.00
_cell_angle_beta 90.00
_cell_angle_gamma 90.00
_symmetry_space_group_name_H-M 'P -4 m 2'
_symmetry_Int_Tables_number 115
_symmetry_space_group_name_Hall 'P -4 -2'
loop_
_atom_site_label
_atom_site_type_symbol
_atom_site_fract_x
_atom_site_fract_y
_atom_site_fract_z
_atom_site_occupancy
Sr1 Sr 0.000 0.500 0.170 1
Mg1 Mg 0.000 0.000 0.500 1
Co1 Co 0.500 0.500 0.500 1
Si1 Si 0.000 0.500 0.686 1
```

Properties
E = -4.05 eV per atom
V = 22.850 Å³ per atom



Entry 2:
A relaxed structure of MgTaCoSi, computed with GGA-PBE.

Cell and atoms, written as CIF:
```
data_MgTaCoSi
_cell_length_a 6.139
_cell_length_b 6.139
_cell_length_c 6.139
_cell_angle_alpha 90.00
_cell_angle_beta 90.00
_cell_angle_gamma 90.00
_symmetry_space_group_name_H-M 'F -4 3 m'
_symmetry_Int_Tables_number 216
_symmetry_space_group_name_Hall 'F -4 2 3'
loop_
_atom_site_label
_atom_site_type_symbol
_atom_site_fract_x
_atom_site_fract_y
_atom_site_fract_z
_atom_site_occupancy
Mg1 Mg 0.000 0.000 0.000 1
Ta1 Ta 0.250 0.250 0.250 1
Co1 Co 0.250 0.250 0.750 1
Si1 Si 0.000 0.000 0.500 1
```

Properties
relative energy among the computed polymorphs = 0 meV/atom
V = 14.457 Å³ per atom



Entry 3:
A relaxed structure of MgTaCoSi, computed with GGA-PBE.

Cell and atoms, written as CIF:
```
data_MgTaCoSi
_cell_length_a 6.124
_cell_length_b 6.124
_cell_length_c 6.124
_cell_angle_alpha 90.00
_cell_angle_beta 90.00
_cell_angle_gamma 90.00
_symmetry_space_group_name_H-M 'F -4 3 m'
_symmetry_Int_Tables_number 216
_symmetry_space_group_name_Hall 'F -4 2 3'
loop_
_atom_site_label
_atom_site_type_symbol
_atom_site_fract_x
_atom_site_fract_y
_atom_site_fract_z
_atom_site_occupancy
Mg1 Mg 0.000 0.000 0.000 1
Ta1 Ta 0.250 0.250 0.750 1
Co1 Co 0.000 0.000 0.500 1
Si1 Si 0.250 0.250 0.250 1
```

Properties
relative energy among the computed polymorphs = 48 meV/atom
V = 14.352 Å³ per atom



Entry 4:
A relaxed structure of MgCoSiTc, computed with GGA-PBE.

Cell and atoms, written as CIF:
```
data_MgCoSiTc
_cell_length_a 5.906
_cell_length_b 5.906
_cell_length_c 5.906
_cell_angle_alpha 90.00
_cell_angle_beta 90.00
_cell_angle_gamma 90.00
_symmetry_space_group_name_H-M 'F -4 3 m'
_symmetry_Int_Tables_number 216
_symmetry_space_group_name_Hall 'F -4 2 3'
loop_
_atom_site_label
_atom_site_type_symbol
_atom_site_fract_x
_atom_site_fract_y
_atom_site_fract_z
_atom_site_occupancy
Mg1 Mg 0.000 0.000 0.000 1
Co1 Co 0.250 0.250 0.250 1
Si1 Si 0.000 0.000 0.500 1
Tc1 Tc 0.250 0.250 0.750 1
```

Properties
relative energy among the computed polymorphs = 0 meV/atom
V = 12.876 Å³ per atom